[1]
Density functional theory data (PBEsol) for a relaxed structure of TcPtRh2.

## Properties
energy = -0.3209 Ha/atom
space group = No. 25
E_form = -0.1066 eV/atom
crystal system = orthorhombic
ρ = 14.93 g cm⁻³

Lattice parameters (Å, degrees): 2.683 3.838 5.388 90.00 90.00 90.00
Fractional coordinates of all 4 atoms:
Tc 0.000 0.000 0.000
Pt 0.500 0.500 0.256
Rh 0.000 0.000 0.515
Rh 0.500 0.500 0.766



[2]
Density functional theory data (PBEsol) for a relaxed structure of TcPt2Rh.

## Properties
energy = -0.3101 Ha/atom
space group = No. 139
E_form = -0.1058 eV/atom
crystal system = tetragonal
ρ = 17.27 g cm⁻³

Lattice parameters (Å, degrees): 4.755 4.755 4.755 132.80 132.80 68.97
Fractional coordinates of all 4 atoms:
Tc 0.000 0.000 0.000
Pt 0.250 0.750 0.500
Pt 0.750 0.250 0.500
Rh 0.500 0.500 0.000



[3]
Density functional theory data (PBEsol) for a relaxed structure of Tc2PtRh.

## Properties
energy = -0.3499 Ha/atom
space group = No. 8
E_form = -0.1139 eV/atom
crystal system = monoclinic
ρ = 14.66 g cm⁻³

Lattice parameters (Å, degrees): 4.685 4.685 4.741 98.71 98.71 32.99
Fractional coordinates of all 4 atoms:
Tc 0.000 0.000 0.000
Tc 0.249 0.249 0.751
Pt 0.501 0.501 0.501
Rh 0.744 0.744 0.235



[4]
Density functional theory data (PBEsol) for a relaxed structure of TcPt2Rh.

## Properties
energy = -0.3107 Ha/atom
space group = No. 123
E_form = -0.1209 eV/atom
crystal system = tetragonal
ρ = 17.25 g cm⁻³

Lattice parameters (Å, degrees): 2.703 2.703 7.785 90.00 90.00 90.00
Fractional coordinates of all 4 atoms:
Tc 0.000 0.000 0.000
Pt 0.500 0.500 0.245
Pt 0.500 0.500 0.755
Rh 0.000 0.000 0.500



[5]
Density functional theory data (PBEsol) for a relaxed structure of TcPt2Rh.

## Properties
energy = -0.3110 Ha/atom
space group = No. 8
E_form = -0.1311 eV/atom
crystal system = monoclinic
ρ = 17.25 g cm⁻³

Lattice parameters (Å, degrees): 4.729 4.729 4.725 99.23 99.23 33.10
Fractional coordinates of all 4 atoms:
Tc 0.000 0.000 0.000
Pt 0.503 0.503 0.507
Pt 0.749 0.749 0.248
Rh 0.255 0.255 0.763



[6]
Density functional theory data (PBEsol) for a relaxed structure of TcPt3Rh.

## Properties
energy = -0.2249 Ha/atom
space group = No. 221
E_form = 1.9403 eV/atom
crystal system = cubic
ρ = 12.68 g cm⁻³

Lattice parameters (Å, degrees): 4.687 4.687 4.687 90.00 90.00 90.00
Fractional coordinates of all 5 atoms:
Tc 0.000 0.000 0.000
Pt 0.000 0.500 0.500
Pt 0.500 0.000 0.500
Pt 0.500 0.500 0.000
Rh 0.500 0.500 0.500



[7]
Density functional theory data (PBEsol) for a relaxed structure of TcPtRh2.

## Properties
energy = -0.3212 Ha/atom
space group = No. 166
E_form = -0.1127 eV/atom
crystal system = trigonal
ρ = 14.86 g cm⁻³

Lattice parameters (Å, degrees): 9.024 9.024 9.024 17.15 17.15 17.15
Fractional coordinates of all 4 atoms:
Tc 0.000 0.000 0.000
Pt 0.500 0.500 0.500
Rh 0.254 0.254 0.254
Rh 0.746 0.746 0.746



[8]
Density functional theory data (PBEsol) for a relaxed structure of TcPtRh2.

## Properties
energy = -0.3194 Ha/atom
space group = No. 160
E_form = -0.0658 eV/atom
crystal system = trigonal
ρ = 14.89 g cm⁻³

Lattice parameters (Å, degrees): 9.004 9.004 9.004 17.19 17.19 17.19
Fractional coordinates of all 4 atoms:
Tc 0.000 0.000 0.000
Pt 0.751 0.751 0.751
Rh 0.254 0.254 0.254
Rh 0.503 0.503 0.503